# BaZrMn4 | Alexandria | PBE | optimized geometry
data_BaZrMn4
_cell_length_a 7.412
_cell_length_b 7.412
_cell_length_c 7.412
_cell_angle_alpha 90.00
_cell_angle_beta 90.00
_cell_angle_gamma 90.00
_symmetry_space_group_name_H-M 'F -4 3 m'
_symmetry_Int_Tables_number 216
_symmetry_space_group_name_Hall 'F -4 2 3'
loop_
_atom_site_label
_atom_site_type_symbol
_atom_site_fract_x
_atom_site_fract_y
_atom_site_fract_z
_atom_site_occupancy
Ba1 Ba 0.000 0.000 0.000 1
Zr1 Zr 0.250 0.250 0.250 1
Mn1 Mn 0.122 0.122 0.622 1
# Volume in Å³ per cell: 407

# BaZrMn2 | Alexandria | PBE | optimized geometry
data_BaZrMn2
_cell_length_a 7.136
_cell_length_b 7.791
_cell_length_c 3.358
_cell_angle_alpha 90.00
_cell_angle_beta 90.00
_cell_angle_gamma 90.00
_symmetry_space_group_name_H-M 'C m m m'
_symmetry_Int_Tables_number 65
_symmetry_space_group_name_Hall '-C 2 2'
loop_
_atom_site_label
_atom_site_type_symbol
_atom_site_fract_x
_atom_site_fract_y
_atom_site_fract_z
_atom_site_occupancy
Ba1 Ba 0.000 0.000 0.000 1
Zr1 Zr 0.000 0.500 0.000 1
Mn1 Mn 0.250 0.250 0.500 1
# Volume in Å³ per cell: 187

# BaZrMn2 | Alexandria | PBE | optimized geometry
data_BaZrMn2
_cell_length_a 4.139
_cell_length_b 3.796
_cell_length_c 13.171
_cell_angle_alpha 90.00
_cell_angle_beta 90.00
_cell_angle_gamma 90.00
_symmetry_space_group_name_H-M 'A m m 2'
_symmetry_Int_Tables_number 38
loop_
_symmetry_equiv_pos_as_xyz
'x,y,z'
'-x,-y,z'
'-x,y,z'
'x,-y,z'
'x,y+1/2,z+1/2'
'-x,-y+1/2,z+1/2'
'-x,y+1/2,z+1/2'
'x,-y+1/2,z+1/2'
loop_
_atom_site_label
_atom_site_type_symbol
_atom_site_fract_x
_atom_site_fract_y
_atom_site_fract_z
_atom_site_occupancy
Ba1 Ba 0.000 0.000 0.000 1
Zr1 Zr 0.500 0.000 0.275 1
Mn1 Mn 0.000 0.000 0.740 1
Mn2 Mn 0.500 0.000 0.633 1
# Volume in Å³ per cell: 207

no.,total energy (eV per atom),M_tot (μB per cell)
1,-7.31,32.00
2,-6.51,12.82
3,-6.68,9.72